This record from the Alexandria database describes crystalline TbGe2Ir2 at its relaxed geometry. The functional is GGA-PBEsol.

a b c (Å): 4.171 4.171 10.062
angles (deg): 90.00 90.00 90.00
Element x y z (fractional)
Ge 0.500 0.000 0.133
Ge 0.500 0.500 0.500
Ge 0.000 0.000 0.500
Ge 0.000 0.500 0.867
Ir 0.000 0.000 0.000
Ir 0.500 0.500 0.000
Ir 0.500 0.000 0.370
Ir 0.000 0.500 0.630
Tb 0.500 0.000 0.748
Tb 0.000 0.500 0.252

Calculated values
**Theoretical density**: 13.07 g cm⁻³
**Total moment**: 0.00 μB per formula unit
**Uncorrected energy**: -7.69 eV/atom
**Symmetry**: P4/nmm, No. 129